The following is a PBE calculation of LaTbEr2S6 after structural relaxation, from the Alexandria database.

Cell lengths 7.363, 7.363, 7.363 Å; angles 56.78, 56.78, 56.78 degrees
Fractional positions:
La1 0.000 0.000 0.000
Tb1 0.492 0.492 0.492
Er1 0.289 0.289 0.289
Er2 0.793 0.793 0.793
S1 0.081 0.663 0.421
S2 0.186 0.580 0.898
S3 0.421 0.081 0.663
S4 0.580 0.898 0.186
S5 0.663 0.421 0.081
S6 0.898 0.186 0.580

- space-group type = No. 146
- ΔE_f (raw) (eV/f.u.) = -20.81